Computed, not measured: Cd2TeRhAu after structural relaxation at the PBEsol level of DFT.

```
data_Cd2TeRhAu
_chemical_formula_sum 'Cd2 Te1 Rh1 Au1'
_cell_length_a 5.123
_cell_length_b 5.123
_cell_length_c 4.756
_cell_angle_alpha 90.00
_cell_angle_beta 90.00
_cell_angle_gamma 90.00
_space_group_name_H-M_alt 'P 4/m m m'
_space_group_IT_number 123
_space_group_name_Hall '-P 4 2'
loop_
_atom_site_label
_atom_site_type_symbol
_atom_site_fract_x
_atom_site_fract_y
_atom_site_fract_z
Cd1 Cd 0.000 0.500 0.000
Te1 Te 0.000 0.000 0.500
Rh1 Rh 0.000 0.000 0.000
Au1 Au 0.500 0.500 0.500
```

Summary:
raw formation energy = 349 meV per atom
crystal system = tetragonal
total moment = 0.0 μB/cell
total energy = -3.25 eV/atom

Computed, not measured: CdRu2Au after structural relaxation at the PBEsol level of DFT.

```
data_CdRu2Au
_chemical_formula_sum 'Cd2 Ru4 Au2'
_cell_length_a 9.056
_cell_length_b 2.816
_cell_length_c 4.928
_cell_angle_alpha 90.00
_cell_angle_beta 99.76
_cell_angle_gamma 90.00
_space_group_name_H-M_alt 'C 1 m 1'
_space_group_IT_number 8
loop_
_space_group_symop_operation_xyz
'x,y,z'
'x,-y,z'
'x+1/2,y+1/2,z'
'x+1/2,-y+1/2,z'
loop_
_atom_site_label
_atom_site_type_symbol
_atom_site_fract_x
_atom_site_fract_y
_atom_site_fract_z
Cd1 Cd 0.000 0.000 0.000
Ru1 Ru 0.008 0.500 0.522
Ru2 Ru 0.244 0.000 0.699
Au1 Au 0.255 0.500 0.229
```

Summary:
crystal system = monoclinic
total moment = 0.0 μB/cell
DFT formation energy = 0.324 eV per atom
total energy = -6.04 eV/atom